# Pm6HPb2, optimized geometry, DFT PBE-GGA
data_Pm6HPb2
_chemical_formula_sum 'Pm12 H2 Pb4'
_space_group_name_H-M_alt 'P 1 21/c 1'
_space_group_IT_number 14
_cell_length_a 6.6164
_cell_length_b 7.9169
_cell_length_c 12.0743
_cell_angle_alpha 90.00
_cell_angle_beta 122.93
_cell_angle_gamma 90.00
loop_
_space_group_symop_operation_xyz
'x,y,z'
'-x,-y,-z'
'-x,y+1/2,-z+1/2'
'x,-y+1/2,z+1/2'
loop_
_atom_site_label
_atom_site_type_symbol
_atom_site_fract_x
_atom_site_fract_y
_atom_site_fract_z
_atom_site_occupancy
Pm1 Pm 0.0671 0.2028 0.4575 1
Pm2 Pm 0.3463 0.7047 0.4578 1
Pm3 Pm 0.3901 0.0254 0.2552 1
H1 H 0.5000 0.0000 0.5000 1
Pb1 Pb 0.1502 0.1091 0.7505 1
# DOS at the Fermi energy: 20.9 states/eV per cell
# total magnetization: 0.00 Bohr magnetons per cell
# total energy: -84.16 eV per cell


# YB3Pd, optimized geometry, DFT PBE-GGA
data_YB3Pd
_chemical_formula_sum 'Y1 B3 Pd1'
_space_group_name_H-M_alt 'P m -3 m'
_space_group_IT_number 221
_space_group_name_Hall '-P 4 2 3'
_cell_length_a 4.1234
_cell_length_b 4.1234
_cell_length_c 4.1234
_cell_angle_alpha 90.00
_cell_angle_beta 90.00
_cell_angle_gamma 90.00
loop_
_atom_site_label
_atom_site_type_symbol
_atom_site_fract_x
_atom_site_fract_y
_atom_site_fract_z
_atom_site_occupancy
Y1 Y 0.0000 0.0000 0.0000 1
B1 B 0.0000 0.5000 0.5000 1
Pd1 Pd 0.5000 0.5000 0.5000 1
# DOS at the Fermi energy: 3.9 states/eV per cell
# total magnetization: 0.00 Bohr magnetons per cell
# total energy: -28.09 eV per cell


# La3AuC, optimized geometry, DFT PBE-GGA
data_La3AuC
_chemical_formula_sum 'La12 Au4 C4'
_space_group_name_H-M_alt 'C 1 m 1'
_space_group_IT_number 8
_cell_length_a 13.1711
_cell_length_b 10.4257
_cell_length_c 3.9059
_cell_angle_alpha 90.00
_cell_angle_beta 90.07
_cell_angle_gamma 90.00
loop_
_space_group_symop_operation_xyz
'x,y,z'
'x,-y,z'
'x+1/2,y+1/2,z'
'x+1/2,-y+1/2,z'
loop_
_atom_site_label
_atom_site_type_symbol
_atom_site_fract_x
_atom_site_fract_y
_atom_site_fract_z
_atom_site_occupancy
La1 La 0.0000 0.0000 0.0000 1
La2 La 0.0795 0.3129 0.4999 1
La3 La 0.2217 0.0000 0.5008 1
La4 La 0.3110 0.2592 0.0021 1
Au1 Au 0.2943 0.5000 0.5016 1
Au2 Au 0.4374 0.0000 0.9970 1
C1 C 0.1399 0.1672 0.9999 1
# DOS at the Fermi energy: 19.7 states/eV per cell
# total magnetization: 0.00 Bohr magnetons per cell
# total energy: -115.86 eV per cell


# CeZr2CuN4, optimized geometry, DFT PBE-GGA
data_CeZr2CuN4
_chemical_formula_sum 'Ce4 Zr8 Cu4 N16'
_space_group_name_H-M_alt 'C m c m'
_space_group_IT_number 63
_space_group_name_Hall '-C 2c 2'
_cell_length_a 3.2974
_cell_length_b 10.9560
_cell_length_c 11.2002
_cell_angle_alpha 90.00
_cell_angle_beta 90.00
_cell_angle_gamma 90.00
loop_
_atom_site_label
_atom_site_type_symbol
_atom_site_fract_x
_atom_site_fract_y
_atom_site_fract_z
_atom_site_occupancy
Ce1 Ce 0.0000 0.1087 0.2500 1
Zr1 Zr 0.0000 0.3690 0.0526 1
Cu1 Cu 0.0000 0.1578 0.7500 1
N1 N 0.0000 0.0000 0.0000 1
N2 N 0.0000 0.2716 0.6136 1
N3 N 0.0000 0.4525 0.2500 1
# DOS at the Fermi energy: 15.1 states/eV per cell
# formation energy (no corrections): -1262.3 meV per atom
# total magnetization: 1.54 Bohr magnetons per cell


# ThNpZn17, optimized geometry, DFT PBE-GGA
data_ThNpZn17
_chemical_formula_sum 'Th3 Np3 Zn51'
_space_group_name_H-M_alt 'R 3 m'
_space_group_IT_number 160
_space_group_name_Hall 'R 3 -2"'
_cell_length_a 9.0229
_cell_length_b 9.0229
_cell_length_c 13.2426
_cell_angle_alpha 90.00
_cell_angle_beta 90.00
_cell_angle_gamma 120.00
loop_
_atom_site_label
_atom_site_type_symbol
_atom_site_fract_x
_atom_site_fract_y
_atom_site_fract_z
_atom_site_occupancy
Th1 Th 0.0000 0.0000 0.0000 1
Np1 Np 0.0000 0.0000 0.6728 1
Zn1 Zn 0.0000 0.0000 0.2384 1
Zn2 Zn 0.0000 0.0000 0.4380 1
Zn3 Zn 0.0008 0.5004 0.8367 1
Zn4 Zn 0.0017 0.2953 0.3369 1
Zn5 Zn 0.0124 0.5062 0.4884 1
Zn6 Zn 0.1689 0.3378 0.5182 1
# DOS at the Fermi energy: 39.6 states/eV per cell
# total magnetization: 13.48 Bohr magnetons per cell
# total energy: -133.78 eV per cell


# CoTcHg2, optimized geometry, DFT PBE-GGA
data_CoTcHg2
_chemical_formula_sum 'Co3 Tc3 Hg6'
_space_group_name_H-M_alt 'R -3 m'
_space_group_IT_number 166
_space_group_name_Hall '-R 3 2"'
_cell_length_a 2.9340
_cell_length_b 2.9340
_cell_length_c 27.2899
_cell_angle_alpha 90.00
_cell_angle_beta 90.00
_cell_angle_gamma 120.00
loop_
_atom_site_label
_atom_site_type_symbol
_atom_site_fract_x
_atom_site_fract_y
_atom_site_fract_z
_atom_site_occupancy
Co1 Co 0.0000 0.0000 0.0000 1
Tc1 Tc 0.0000 0.0000 0.5000 1
Hg1 Hg 0.0000 0.0000 0.2535 1
# DOS at the Fermi energy: 15.2 states/eV per cell
# total magnetization: 5.16 Bohr magnetons per cell
# total energy: -46.38 eV per cell


# Pm4Mg5Ir2, optimized geometry, DFT PBE-GGA
data_Pm4Mg5Ir2
_chemical_formula_sum 'Pm4 Mg5 Ir2'
_space_group_name_H-M_alt 'P 1 2/m 1'
_space_group_IT_number 10
_cell_length_a 7.8946
_cell_length_b 3.7932
_cell_length_c 9.8496
_cell_angle_alpha 90.00
_cell_angle_beta 93.36
_cell_angle_gamma 90.00
loop_
_space_group_symop_operation_xyz
'x,y,z'
'-x,-y,-z'
'-x,y,-z'
'x,-y,z'
loop_
_atom_site_label
_atom_site_type_symbol
_atom_site_fract_x
_atom_site_fract_y
_atom_site_fract_z
_atom_site_occupancy
Pm1 Pm 0.1694 0.0000 0.3481 1
Pm2 Pm 0.2093 0.0000 0.9474 1
Mg1 Mg 0.1794 0.5000 0.6567 1
Mg2 Mg 0.4454 0.5000 0.1740 1
Mg3 Mg 0.5000 0.5000 0.5000 1
Ir1 Ir 0.0736 0.5000 0.1456 1
# DOS at the Fermi energy: 7.9 states/eV per cell
# total magnetization: 0.00 Bohr magnetons per cell
# total energy: -48.28 eV per cell


# ZrHg2Br, optimized geometry, DFT PBE-GGA
data_ZrHg2Br
_chemical_formula_sum 'Zr4 Hg8 Br4'
_space_group_name_H-M_alt 'C 1 2/m 1'
_space_group_IT_number 12
_cell_length_a 6.1383
_cell_length_b 10.1711
_cell_length_c 6.7328
_cell_angle_alpha 90.00
_cell_angle_beta 108.11
_cell_angle_gamma 90.00
loop_
_space_group_symop_operation_xyz
'x,y,z'
'-x,-y,-z'
'-x,y,-z'
'x,-y,z'
'x+1/2,y+1/2,z'
'-x+1/2,-y+1/2,-z'
'-x+1/2,y+1/2,-z'
'x+1/2,-y+1/2,z'
loop_
_atom_site_label
_atom_site_type_symbol
_atom_site_fract_x
_atom_site_fract_y
_atom_site_fract_z
_atom_site_occupancy
Zr1 Zr 0.1679 0.0000 0.3407 1
Hg1 Hg 0.0000 0.2560 0.5000 1
Hg2 Hg 0.1228 0.5000 0.2141 1
Br1 Br 0.0000 0.1670 0.0000 1
# DOS at the Fermi energy: 11.0 states/eV per cell
# formation energy (no corrections): -346.2 meV per atom
# total magnetization: 0.00 Bohr magnetons per cell


# PaTl3Sb3S8, optimized geometry, DFT PBE-GGA
data_PaTl3Sb3S8
_chemical_formula_sum 'Pa3 Tl9 Sb9 S24'
_space_group_name_H-M_alt 'R -3 m'
_space_group_IT_number 166
_space_group_name_Hall '-R 3 2"'
_cell_length_a 8.0731
_cell_length_b 8.0731
_cell_length_c 22.7185
_cell_angle_alpha 90.00
_cell_angle_beta 90.00
_cell_angle_gamma 120.00
loop_
_atom_site_label
_atom_site_type_symbol
_atom_site_fract_x
_atom_site_fract_y
_atom_site_fract_z
_atom_site_occupancy
Pa1 Pa 0.0000 0.0000 0.0000 1
Tl1 Tl 0.0000 0.5000 0.5000 1
Sb1 Sb 0.0000 0.5000 0.0000 1
S1 S 0.0000 0.0000 0.2656 1
S2 S 0.0082 0.5041 0.7314 1
# DOS at the Fermi energy: 15.3 states/eV per cell
# formation energy (no corrections): -588.0 meV per atom
# total magnetization: 1.71 Bohr magnetons per cell


# Ce8SiGe5, optimized geometry, DFT PBE-GGA
data_Ce8SiGe5
_chemical_formula_sum 'Ce16 Si2 Ge10'
_space_group_name_H-M_alt 'I -4'
_space_group_IT_number 82
_cell_length_a 8.9634
_cell_length_b 8.9634
_cell_length_c 8.9028
_cell_angle_alpha 90.00
_cell_angle_beta 90.00
_cell_angle_gamma 90.00
loop_
_space_group_symop_operation_xyz
'x,y,z'
'y,-x,-z'
'-x,-y,z'
'-y,x,-z'
'x+1/2,y+1/2,z+1/2'
'y+1/2,-x+1/2,-z+1/2'
'-x+1/2,-y+1/2,z+1/2'
'-y+1/2,x+1/2,-z+1/2'
loop_
_atom_site_label
_atom_site_type_symbol
_atom_site_fract_x
_atom_site_fract_y
_atom_site_fract_z
_atom_site_occupancy
Ce1 Ce 0.0711 0.3233 0.4507 1
Ce2 Ce 0.0727 0.1814 0.8003 1
Si1 Si 0.0000 0.5000 0.7500 1
Ge1 Ge 0.0000 0.0000 0.5000 1
Ge2 Ge 0.1235 0.2490 0.1258 1
# DOS at the Fermi energy: 73.7 states/eV per cell
# formation energy (no corrections): -672.4 meV per atom
# total magnetization: 13.25 Bohr magnetons per cell